Entry 1:
LiMnCu3 | PBE-GGA | optimized geometry

E_tot: -3.704 eV/atom
M_tot: 0.000 μB/f.u.
relative energy among the computed polymorphs: 82 kJ/mol of formula units
DOS at the Fermi energy: 0.734 states/eV/atom
crystal system: cubic
DFT formation energy: 971 meV/atom

Cell and atoms, written as CIF:
```
data_LiMnCu3
_symmetry_space_group_name_H-M 'P m -3 m'
_symmetry_Int_Tables_number 221
_symmetry_space_group_name_Hall '-P 4 2 3'
_cell_length_a 3.949
_cell_length_b 3.949
_cell_length_c 3.949
_cell_angle_alpha 90.00
_cell_angle_beta 90.00
_cell_angle_gamma 90.00
loop_
_atom_site_label
_atom_site_type_symbol
_atom_site_fract_x
_atom_site_fract_y
_atom_site_fract_z
Li1 Li 0.000 0.000 0.000
Mn1 Mn 0.500 0.500 0.500
Cu1 Cu 0.000 0.000 0.500
```



Entry 2:
LiSiSe2N | PBE-GGA | optimized geometry

E_tot: -4.632 eV/atom
M_tot: 0.000 μB/f.u.
relative energy among the computed polymorphs: 0 kJ/mol of formula units
DOS at the Fermi energy: 0.308 states/eV/atom
crystal system: tetragonal

Cell and atoms, written as CIF:
```
data_LiSiSe2N
_symmetry_space_group_name_H-M 'P 4/m m m'
_symmetry_Int_Tables_number 123
_symmetry_space_group_name_Hall '-P 4 2'
_cell_length_a 5.360
_cell_length_b 5.360
_cell_length_c 3.192
_cell_angle_alpha 90.00
_cell_angle_beta 90.00
_cell_angle_gamma 90.00
loop_
_atom_site_label
_atom_site_type_symbol
_atom_site_fract_x
_atom_site_fract_y
_atom_site_fract_z
Li1 Li 0.000 0.000 0.000
Si1 Si 0.500 0.500 0.500
Se1 Se 0.000 0.500 0.500
N1 N 0.500 0.500 0.000
```



Entry 3:
Tb3ScGe2 | PBE-GGA | optimized geometry

E_tot: -5.580 eV/atom
M_tot: 0.000 μB/f.u.
DOS at the Fermi energy: 1.066 states/eV/atom
crystal system: orthorhombic
DFT formation energy: -670 meV/atom

Cell and atoms, written as CIF:
```
data_Tb3ScGe2
_symmetry_space_group_name_H-M 'I m m m'
_symmetry_Int_Tables_number 71
_symmetry_space_group_name_Hall '-I 2 2'
_cell_length_a 4.267
_cell_length_b 4.377
_cell_length_c 15.835
_cell_angle_alpha 90.00
_cell_angle_beta 90.00
_cell_angle_gamma 90.00
loop_
_atom_site_label
_atom_site_type_symbol
_atom_site_fract_x
_atom_site_fract_y
_atom_site_fract_z
Tb1 Tb 0.000 0.000 0.000
Tb2 Tb 0.000 0.500 0.321
Sc1 Sc 0.000 0.000 0.500
Ge1 Ge 0.000 0.500 0.133
```



Entry 4:
Nb3AuN | PBE-GGA | optimized geometry

E_tot: -8.453 eV/atom
M_tot: 0.000 μB/f.u.
DOS at the Fermi energy: 0.850 states/eV/atom
crystal system: monoclinic

Cell and atoms, written as CIF:
```
data_Nb3AuN
_symmetry_space_group_name_H-M 'C 1 2/m 1'
_symmetry_Int_Tables_number 12
_symmetry_space_group_name_Hall '-C 2y'
_cell_length_a 10.819
_cell_length_b 2.895
_cell_length_c 10.641
_cell_angle_alpha 90.00
_cell_angle_beta 93.35
_cell_angle_gamma 90.00
loop_
_atom_site_label
_atom_site_type_symbol
_atom_site_fract_x
_atom_site_fract_y
_atom_site_fract_z
Nb1 Nb 0.029 0.000 0.273
Nb2 Nb 0.124 0.000 0.000
Nb3 Nb 0.134 0.500 0.523
Au1 Au 0.200 0.500 0.789
N1 N 0.186 0.000 0.388
```



Entry 5:
PmPr3Dy6Tm2 | PBE-GGA | optimized geometry

E_tot: -4.617 eV/atom
M_tot: 0.000 μB/f.u.
DOS at the Fermi energy: 1.307 states/eV/atom
crystal system: monoclinic
DFT formation energy: 20 meV/atom

Cell and atoms, written as CIF:
```
data_PmPr3Dy6Tm2
_symmetry_space_group_name_H-M 'C 1 2/m 1'
_symmetry_Int_Tables_number 12
_symmetry_space_group_name_Hall '-C 2y'
_cell_length_a 6.214
_cell_length_b 10.760
_cell_length_c 11.864
_cell_angle_alpha 90.00
_cell_angle_beta 100.03
_cell_angle_gamma 90.00
loop_
_atom_site_label
_atom_site_type_symbol
_atom_site_fract_x
_atom_site_fract_y
_atom_site_fract_z
Pm1 Pm 0.000 0.000 0.000
Pr1 Pr 0.000 0.167 0.500
Pr2 Pr 0.000 0.500 0.500
Dy1 Dy 0.248 0.500 0.246
Dy2 Dy 0.249 0.167 0.246
Tm1 Tm 0.000 0.333 0.000
```



Entry 6:
TmPaTi2N4 | PBE-GGA | optimized geometry

E_tot: -9.507 eV/atom
M_tot: 0.000 μB/f.u.
DOS at the Fermi energy: 0.414 states/eV/atom
crystal system: monoclinic

Cell and atoms, written as CIF:
```
data_TmPaTi2N4
_symmetry_space_group_name_H-M 'P 1 2/m 1'
_symmetry_Int_Tables_number 10
_symmetry_space_group_name_Hall '-P 2y'
_cell_length_a 5.598
_cell_length_b 3.224
_cell_length_c 5.630
_cell_angle_alpha 90.00
_cell_angle_beta 109.47
_cell_angle_gamma 90.00
loop_
_atom_site_label
_atom_site_type_symbol
_atom_site_fract_x
_atom_site_fract_y
_atom_site_fract_z
Tm1 Tm 0.000 0.000 0.000
Pa1 Pa 0.000 0.500 0.500
Ti1 Ti 0.500 0.000 0.500
Ti2 Ti 0.500 0.500 0.000
N1 N 0.274 0.500 0.260
N2 N 0.278 0.000 0.763
```



> DOS at the Fermi energy of number 2 (LiSiSe2N)?

0.308 states/eV/atom



> Look up the M_tot of the second one.

0.000 μB/f.u.